Here is BeCuNO2 after structural relaxation from Alexandria. Energies are from GGA-PBE.

Cell: 3.4123 3.4123 3.5780 Å, 90.00 90.00 90.00°
Last column: nearest neighbours and their distance in Å.
Element x y z (fractional)
Be1 0.0000 0.0000 0.0000  4 O 1.71, 2 N 1.79
O1 0.0000 0.5000 0.0000  2 Be 1.71
O2 0.5000 0.0000 0.0000  2 Be 1.71
Cu1 0.5000 0.5000 0.5000  4 N 2.41, 8 O 2.47
N1 0.0000 0.0000 0.5000  2 Be 1.79

---

Here is CaAc2TbSe5 after structural relaxation from Alexandria. Energies are from GGA-PBE.

Cell: 5.2044 5.2044 10.9456 Å, 90.00 90.00 90.00°
Last column: nearest neighbours and their distance in Å.
Element x y z (fractional)
Ca1 0.0000 0.0000 0.0000  2 Se 2.68
Ac1 0.5000 0.5000 0.2922  5 Se 3.20-3.46
Ac2 0.5000 0.5000 0.7078  5 Se 3.20-3.46
Tb1 0.0000 0.0000 0.5000  6 Se 2.60-2.79
Se1 0.0000 0.5000 0.5000  2 Tb 2.60
Se2 0.5000 0.0000 0.5000  2 Tb 2.60
Se3 0.0000 0.0000 0.7550  1 Ca 2.68, 1 Tb 2.79
Se4 0.0000 0.0000 0.2450  1 Ca 2.68, 1 Tb 2.79
Se5 0.5000 0.5000 0.0000  2 Ac 3.20

---

| no. | formation energy (no corrections) (meV/atom) |
| --- | --- |
| 1 | 306.0 |
| 2 | -1593.9 |